Below is an optimized crystal structure of Ac2Zn4Si3Hg, with properties calculated at the GGA-PBE level.

abc: 4.476 4.476 10.434
angles: 90.00 90.00 90.00
Sites, in units of the cell vectors:
Si 0.500 0.000 0.873
Si 0.000 0.500 0.127
Si 0.000 0.000 0.500
Ac 0.500 0.000 0.243
Ac 0.000 0.500 0.757
Zn 0.000 0.500 0.362
Zn 0.500 0.500 0.000
Zn 0.000 0.000 0.000
Zn 0.500 0.000 0.638
Hg 0.500 0.500 0.500

The value obtained for the energy relative to the elements, uncorrected is -0.359 eV per atom.